No. 1
# Na3ZrIn PBE-GGA optimized geometry
# VASP energy   -1.8736 eV/atom
# E_form   1.1751 eV/atom
# ΔE to the lowest computed polymorph   0.2476 eV/atom
# Total magnetic moment   3.9 μB per formula unit
data_Na3ZrIn
_symmetry_space_group_name_H-M 'P 1'
_symmetry_Int_Tables_number 1
_symmetry_space_group_name_Hall 'P 1'
_cell_length_a 6.022
_cell_length_b 6.022
_cell_length_c 6.022
_cell_angle_alpha 90.00
_cell_angle_beta 90.00
_cell_angle_gamma 90.00
loop_
_atom_site_label
_atom_site_fract_x
_atom_site_fract_y
_atom_site_fract_z
Na1 0.000 0.000 0.500
Na2 0.000 0.500 0.000
Na3 0.500 0.000 0.000
Zr1 0.000 0.000 0.000
In1 0.500 0.500 0.500

No. 2
# IrRh2Br PBE-GGA optimized geometry
# VASP energy   -5.4899 eV/atom
# ΔE to the lowest computed polymorph   0.4420 eV/atom
# Total magnetic moment   0.0 μB per formula unit
# E_form (uncorrected)   0.8193 eV per atom
data_IrRh2Br
_symmetry_space_group_name_H-M 'P 1'
_symmetry_Int_Tables_number 1
_symmetry_space_group_name_Hall 'P 1'
_cell_length_a 4.476
_cell_length_b 4.476
_cell_length_c 4.476
_cell_angle_alpha 60.00
_cell_angle_beta 60.00
_cell_angle_gamma 60.00
loop_
_atom_site_label
_atom_site_fract_x
_atom_site_fract_y
_atom_site_fract_z
Ir1 0.000 0.000 0.000
Rh1 0.250 0.250 0.250
Rh2 0.750 0.750 0.750
Br1 0.500 0.500 0.500

No. 3
# InRhSe2 PBE-GGA optimized geometry
# VASP energy   -4.5561 eV/atom
# Total magnetic moment   0.0 μB per formula unit
# E_form (uncorrected)   -0.2914 eV per atom
data_InRhSe2
_symmetry_space_group_name_H-M 'P 1'
_symmetry_Int_Tables_number 1
_symmetry_space_group_name_Hall 'P 1'
_cell_length_a 8.660
_cell_length_b 8.660
_cell_length_c 8.660
_cell_angle_alpha 24.88
_cell_angle_beta 24.88
_cell_angle_gamma 24.88
loop_
_atom_site_label
_atom_site_fract_x
_atom_site_fract_y
_atom_site_fract_z
In1 0.000 0.000 0.000
Rh1 0.500 0.500 0.500
Se1 0.117 0.117 0.117
Se2 0.883 0.883 0.883

No. 4
# SbSNF2 PBE-GGA optimized geometry
# VASP energy   -4.0045 eV/atom
# ΔE to the lowest computed polymorph   0.0959 eV/atom
# Total magnetic moment   0.0 μB per formula unit
# E_form (uncorrected)   0.0591 eV per atom
data_SbSNF2
_symmetry_space_group_name_H-M 'P 1'
_symmetry_Int_Tables_number 1
_symmetry_space_group_name_Hall 'P 1'
_cell_length_a 4.926
_cell_length_b 4.926
_cell_length_c 3.218
_cell_angle_alpha 90.00
_cell_angle_beta 90.00
_cell_angle_gamma 90.00
loop_
_atom_site_label
_atom_site_fract_x
_atom_site_fract_y
_atom_site_fract_z
Sb1 0.000 0.000 0.000
S1 0.500 0.500 0.500
N1 0.500 0.500 0.000
F1 0.000 0.500 0.500
F2 0.500 0.000 0.500